(1)
# GGA-PBE AlFeRu2Rh, relaxed
data_AlFeRu2Rh
_symmetry_space_group_name_H-M 'P 4/m m m'
_symmetry_Int_Tables_number 123
_symmetry_space_group_name_Hall '-P 4 2'
_cell_length_a 4.3419
_cell_length_b 4.3419
_cell_length_c 4.5049
_cell_angle_alpha 90.00
_cell_angle_beta 90.00
_cell_angle_gamma 90.00
loop_
_atom_site_label
_atom_site_type_symbol
_atom_site_fract_x
_atom_site_fract_y
_atom_site_fract_z
Al1 Al 0.0000 0.0000 0.0000
Fe1 Fe 0.5000 0.5000 0.5000
Ru1 Ru 0.0000 0.5000 0.5000
Rh1 Rh 0.5000 0.5000 0.0000
# VASP energy (eV/atom): -6.576
# Total magnetization (μB/cell): 1.35
# V (Å³/cell): 85

=====

(2)
# GGA-PBE LiHf2Ir2, relaxed
data_LiHf2Ir2
_symmetry_space_group_name_H-M 'P 4/m b m'
_symmetry_Int_Tables_number 127
_symmetry_space_group_name_Hall '-P 4 2ab'
_cell_length_a 7.7569
_cell_length_b 7.7569
_cell_length_c 3.0938
_cell_angle_alpha 90.00
_cell_angle_beta 90.00
_cell_angle_gamma 90.00
loop_
_atom_site_label
_atom_site_type_symbol
_atom_site_fract_x
_atom_site_fract_y
_atom_site_fract_z
Li1 Li 0.0000 0.0000 0.0000
Hf1 Hf 0.1528 0.3472 0.5000
Ir1 Ir 0.1421 0.6421 0.0000
# VASP energy (eV/atom): -8.595
# Total magnetization (μB/cell): 0.00
# V (Å³/cell): 186
# Energy above the lowest structure with this stoichiometry (eV per atom): 0.000